Version 1
VASP calculation (PBE) on an optimized crystal structure of Tb2Sm3Tm4.

Calculated values
Calculated volume, Å³ per cell: 284
Size of the total moment, Bohr magnetons per cell: 0.0

POSCAR file:
```
Tb2Sm3Tm4
1.0
6.0605 0.9044 0.4031
-1.9519 7.2956 -2.4150
0.5550 0.4605 6.1101
Tb Sm Tm
2 3 4
direct
0.6669 0.3337 0.3323 Tb
0.3331 0.6663 0.6677 Tb
0.8894 0.7769 0.4428 Sm
0.1106 0.2231 0.5572 Sm
0.0000 0.0000 0.0000 Sm
0.7755 0.5541 0.8887 Tm
0.2245 0.4459 0.1113 Tm
0.4459 0.8883 0.2224 Tm
0.5541 0.1117 0.7776 Tm
```


Version 2
VASP calculation (PBE) on an optimized crystal structure of Tb2Sm3Tm4.

Calculated values
Calculated volume, Å³ per cell: 569
Size of the total moment, Bohr magnetons per cell: 0.0

POSCAR file:
```
Tb2Sm3Tm4
1.0
5.7307 1.6061 1.1499
2.1622 10.9616 0.7500
2.1622 4.2420 10.1353
Tb Sm Tm
4 6 8
direct
0.4295 0.2786 0.5088 Tb
0.0705 0.4912 0.7214 Tb
0.5705 0.7214 0.4912 Tb
0.9295 0.5088 0.2786 Tb
0.7551 0.0151 0.3146 Sm
0.7449 0.6854 0.9849 Sm
0.2449 0.9849 0.6854 Sm
0.2551 0.3146 0.0151 Sm
0.2500 0.6477 0.3523 Sm
0.7500 0.3523 0.6477 Sm
0.4217 0.9488 0.1728 Tm
0.0783 0.8272 0.0512 Tm
0.5783 0.0512 0.8272 Tm
0.9217 0.1728 0.9488 Tm
0.0886 0.1563 0.3816 Tm
0.4114 0.6184 0.8437 Tm
0.9114 0.8437 0.6184 Tm
0.5886 0.3816 0.1563 Tm
```


version 1 takes first place; second place is 81 meV/atom up.


Version 1
VASP calculation (PBE) on an optimized crystal structure of Tb6Sm2Tm3.

Calculated values
Calculated volume, Å³ per cell: 369
Size of the total moment, Bohr magnetons per cell: 0.0

POSCAR file:
```
Tb6Sm2Tm3
1.0
4.7200 0.0000 0.0000
0.0000 4.7200 0.0000
-2.3600 -2.3600 16.5835
Tb Sm Tm
6 2 3
direct
0.1219 0.6219 0.2438 Tb
0.6219 0.1219 0.2438 Tb
0.8781 0.3781 0.7562 Tb
0.3781 0.8781 0.7562 Tb
0.6973 0.6973 0.3945 Tb
0.3027 0.3027 0.6055 Tb
0.4542 0.4542 0.9084 Sm
0.5458 0.5458 0.0916 Sm
0.0000 0.0000 0.0000 Tm
0.8002 0.8002 0.6004 Tm
0.1998 0.1998 0.3996 Tm
```


Version 2
VASP calculation (PBE) on an optimized crystal structure of Tb6Sm2Tm3.

Calculated values
Calculated volume, Å³ per cell: 348
Size of the total moment, Bohr magnetons per cell: 0.0

POSCAR file:
```
Tb6Sm2Tm3
1.0
-3.2470 -1.4041 0.3467
-0.6936 -3.2233 -1.3283
7.3567 -14.7793 27.2659
Tb Sm Tm
6 2 3
direct
0.9103 0.9103 0.2691 Tb
0.0897 0.0897 0.7309 Tb
0.8182 0.8182 0.5455 Tb
0.1818 0.1818 0.4545 Tb
0.6368 0.6368 0.0897 Tb
0.3632 0.3632 0.9103 Tb
0.5461 0.5461 0.3618 Sm
0.4539 0.4539 0.6382 Sm
0.0000 0.0000 0.0000 Tm
0.7265 0.7265 0.8205 Tm
0.2735 0.2735 0.1795 Tm
```


version 2 takes first place; second place is 265 meV/atom up.


Version 1
VASP calculation (PBE) on an optimized crystal structure of Tb9Sm2Tm.

Calculated values
Calculated volume, Å³ per cell: 385
Size of the total moment, Bohr magnetons per cell: 0.0

POSCAR file:
```
Tb9Sm2Tm
1.0
-0.5636 0.1537 5.0083
4.4643 -2.2732 0.5721
6.8254 13.4934 0.3539
Tb Sm Tm
9 2 1
direct
0.5000 0.5000 0.0000 Tb
0.5000 0.5000 0.3321 Tb
0.5000 0.5000 0.6679 Tb
0.5000 0.0000 0.1647 Tb
0.5000 0.0000 0.5000 Tb
0.5000 0.0000 0.8353 Tb
0.0000 0.5000 0.1647 Tb
0.0000 0.5000 0.5000 Tb
0.0000 0.5000 0.8353 Tb
0.0000 0.0000 0.3324 Sm
0.0000 0.0000 0.6676 Sm
0.0000 0.0000 0.0000 Tm
```


Version 2
VASP calculation (PBE) on an optimized crystal structure of Tb9Sm2Tm.

Calculated values
Calculated volume, Å³ per cell: 384
Size of the total moment, Bohr magnetons per cell: 0.0

POSCAR file:
```
Tb9Sm2Tm
1.0
3.4927 0.0000 0.0000
0.0000 11.2667 0.0000
0.0000 -5.6334 9.7573
Tb Sm Tm
9 2 1
direct
0.0000 0.0000 0.5000 Tb
0.0000 0.5000 0.5000 Tb
0.0000 0.5000 0.0000 Tb
0.5000 0.3467 0.1734 Tb
0.5000 0.1734 0.8266 Tb
0.5000 0.1734 0.3467 Tb
0.5000 0.8266 0.6533 Tb
0.5000 0.8266 0.1734 Tb
0.5000 0.6533 0.8266 Tb
0.0000 0.3333 0.6667 Sm
0.0000 0.6667 0.3333 Sm
0.0000 0.0000 0.0000 Tm
```


version 1 takes first place; second place is 40 meV/atom up.


Version 1
VASP calculation (PBE) on an optimized crystal structure of Tb2Sm2Tm3.

Calculated values
Calculated volume, Å³ per cell: 225
Size of the total moment, Bohr magnetons per cell: 0.0

POSCAR file:
```
Tb2Sm2Tm3
1.0
-3.1879 -1.3609 -0.3861
-0.0509 -2.2531 8.3618
-1.4085 8.2242 -1.6060
Tb Sm Tm
2 2 3
direct
0.6381 0.9071 0.2762 Tb
0.3619 0.0929 0.7238 Tb
0.9200 0.7976 0.8400 Sm
0.0800 0.2024 0.1600 Sm
0.0000 0.5000 0.0000 Tm
0.2207 0.6463 0.4413 Tm
0.7793 0.3537 0.5587 Tm
```


Version 2
VASP calculation (PBE) on an optimized crystal structure of Tb2Sm2Tm3.

Calculated values
Calculated volume, Å³ per cell: 452
Size of the total moment, Bohr magnetons per cell: 0.0

POSCAR file:
```
Tb2Sm2Tm3
1.0
7.8960 0.0000 -2.7916
-3.9480 6.8381 -2.7916
0.0000 0.0000 8.3749
Tb Sm Tm
4 4 6
direct
0.0000 0.0000 0.4180 Tb
0.5000 0.4180 0.5000 Tb
0.5820 0.0820 0.0820 Tb
0.9180 0.5000 0.0000 Tb
0.0000 0.0000 0.8137 Sm
0.5000 0.8137 0.5000 Sm
0.1863 0.6863 0.6863 Sm
0.3137 0.5000 0.0000 Sm
0.6952 0.7500 0.9452 Tm
0.8048 0.2500 0.5548 Tm
0.0548 0.3048 0.2500 Tm
0.4452 0.1952 0.7500 Tm
0.2500 0.9452 0.1952 Tm
0.7500 0.5548 0.3048 Tm
```


version 1 takes first place; second place is 94 meV/atom up.


Version 1
VASP calculation (PBE) on an optimized crystal structure of Tb4Sm3Tm4.

Calculated values
Calculated volume, Å³ per cell: 348
Size of the total moment, Bohr magnetons per cell: 0.0

POSCAR file:
```
Tb4Sm3Tm4
1.0
-3.4032 -0.9317 0.4350
0.8471 -4.2586 -2.4975
5.8658 -6.3327 17.8036
Tb Sm Tm
4 3 4
direct
0.5462 0.5457 0.0920 Tb
0.4538 0.4544 0.9080 Tb
0.8173 0.8175 0.6342 Tb
0.1827 0.1825 0.3657 Tb
0.6370 0.6366 0.2740 Sm
0.3629 0.3635 0.7260 Sm
0.0000 0.0000 0.0000 Sm
0.0915 0.0908 0.1825 Tm
0.2723 0.2724 0.5445 Tm
0.7276 0.7276 0.4555 Tm
0.9085 0.9092 0.8175 Tm
```


Version 2
VASP calculation (PBE) on an optimized crystal structure of Tb4Sm3Tm4.

Calculated values
Calculated volume, Å³ per cell: 358
Size of the total moment, Bohr magnetons per cell: 0.0

POSCAR file:
```
Tb4Sm3Tm4
1.0
-4.2300 3.7541 0.1218
0.6819 -3.3090 -5.6975
-6.5354 -7.4794 3.5617
Tb Sm Tm
4 3 4
direct
0.7518 0.5036 0.7874 Tb
0.7518 0.5036 0.2126 Tb
0.8875 0.7750 0.5000 Tb
0.9585 0.9169 0.0000 Tb
0.4091 0.8182 0.2902 Sm
0.4091 0.8182 0.7098 Sm
0.2542 0.5085 0.0000 Sm
0.6146 0.2292 0.5000 Tm
0.5555 0.1110 0.0000 Tm
0.1032 0.2064 0.7023 Tm
0.1032 0.2064 0.2977 Tm
```


version 1 takes first place; second place is 137 meV/atom up.